DFT (PBE) results for Li5DyMg4 after structural relaxation.

The structure in CIF format:
```
data_Li5DyMg4
_chemical_formula_sum 'Li5 Dy1 Mg4'
_cell_length_a 3.509
_cell_length_b 3.509
_cell_length_c 17.333
_cell_angle_alpha 90.00
_cell_angle_beta 90.00
_cell_angle_gamma 90.00
_space_group_name_H-M_alt 'P 1'
_space_group_IT_number 1
_space_group_name_Hall 'P 1'
loop_
_atom_site_label
_atom_site_fract_x
_atom_site_fract_y
_atom_site_fract_z
Li1 0.500 0.500 0.122
Li2 0.500 0.500 0.309
Li3 0.500 0.500 0.500
Li4 0.500 0.500 0.691
Li5 0.500 0.500 0.878
Dy1 0.000 0.000 0.000
Mg1 0.000 0.000 0.209
Mg2 0.000 0.000 0.404
Mg3 0.000 0.000 0.596
Mg4 0.000 0.000 0.791
```

Values from the calculation:
ΔE_f ... -0.01 eV per formula unit



DFT (PBE) results for Li2DyMg3 after structural relaxation.

The structure in CIF format:
```
data_Li2DyMg3
_chemical_formula_sum 'Li4 Dy2 Mg6'
_cell_length_a 5.016
_cell_length_b 5.016
_cell_length_c 12.937
_cell_angle_alpha 90.00
_cell_angle_beta 90.00
_cell_angle_gamma 120.00
_space_group_name_H-M_alt 'P 1'
_space_group_IT_number 1
_space_group_name_Hall 'P 1'
loop_
_atom_site_label
_atom_site_fract_x
_atom_site_fract_y
_atom_site_fract_z
Li1 0.667 0.333 0.385
Li2 0.333 0.667 0.615
Li3 0.333 0.667 0.885
Li4 0.667 0.333 0.115
Dy1 0.000 0.000 0.250
Dy2 0.000 0.000 0.750
Mg1 0.000 0.000 0.500
Mg2 0.000 0.000 0.000
Mg3 0.667 0.333 0.620
Mg4 0.333 0.667 0.120
Mg5 0.667 0.333 0.880
Mg6 0.333 0.667 0.380
```

Values from the calculation:
Excess energy over the best structure of this formula in the dataset ... 0.061 eV/atom
ΔE_f ... 0.07 eV per formula unit



DFT (PBE) results for LiDyMg2 after structural relaxation.

The structure in CIF format:
```
data_LiDyMg2
_chemical_formula_sum 'Li1 Dy1 Mg2'
_cell_length_a 5.168
_cell_length_b 5.168
_cell_length_c 5.168
_cell_angle_alpha 60.00
_cell_angle_beta 60.00
_cell_angle_gamma 60.00
_space_group_name_H-M_alt 'P 1'
_space_group_IT_number 1
_space_group_name_Hall 'P 1'
loop_
_atom_site_label
_atom_site_fract_x
_atom_site_fract_y
_atom_site_fract_z
Mg1 0.250 0.250 0.250
Mg2 0.750 0.750 0.750
Li1 0.500 0.500 0.500
Dy1 0.000 0.000 0.000
```

Values from the calculation:
Excess energy over the best structure of this formula in the dataset ... 0.074 eV/atom
ΔE_f ... 0.12 eV per formula unit



DFT (PBE) results for LiDy3Mg12 after structural relaxation.

The structure in CIF format:
```
data_LiDy3Mg12
_chemical_formula_sum 'Li1 Dy3 Mg12'
_cell_length_a 4.634
_cell_length_b 4.634
_cell_length_c 18.286
_cell_angle_alpha 90.00
_cell_angle_beta 90.00
_cell_angle_gamma 90.00
_space_group_name_H-M_alt 'P 1'
_space_group_IT_number 1
_space_group_name_Hall 'P 1'
loop_
_atom_site_label
_atom_site_fract_x
_atom_site_fract_y
_atom_site_fract_z
Li1 0.000 0.000 0.000
Dy1 0.000 0.000 0.240
Dy2 0.000 0.000 0.500
Dy3 0.000 0.000 0.760
Mg1 0.500 0.500 0.000
Mg2 0.500 0.500 0.238
Mg3 0.500 0.500 0.500
Mg4 0.500 0.500 0.762
Mg5 0.500 0.000 0.113
Mg6 0.500 0.000 0.370
Mg7 0.500 0.000 0.630
Mg8 0.500 0.000 0.887
Mg9 0.000 0.500 0.113
Mg10 0.000 0.500 0.370
Mg11 0.000 0.500 0.630
Mg12 0.000 0.500 0.887
```

Values from the calculation:
ΔE_f ... -0.84 eV per formula unit



DFT (PBE) results for LiDy6Mg5 after structural relaxation.

The structure in CIF format:
```
data_LiDy6Mg5
_chemical_formula_sum 'Li1 Dy6 Mg5'
_cell_length_a 5.347
_cell_length_b 7.529
_cell_length_c 8.452
_cell_angle_alpha 90.00
_cell_angle_beta 71.56
_cell_angle_gamma 90.00
_space_group_name_H-M_alt 'P 1'
_space_group_IT_number 1
_space_group_name_Hall 'P 1'
loop_
_atom_site_label
_atom_site_fract_x
_atom_site_fract_y
_atom_site_fract_z
Mg1 0.668 0.500 0.665
Mg2 0.331 0.000 0.338
Mg3 0.000 0.500 0.000
Mg4 0.669 0.000 0.662
Mg5 0.332 0.500 0.335
Li1 0.000 0.000 0.000
Dy1 0.834 0.749 0.331
Dy2 0.834 0.251 0.331
Dy3 0.500 0.250 0.000
Dy4 0.500 0.750 0.000
Dy5 0.166 0.749 0.669
Dy6 0.166 0.251 0.669
```

Values from the calculation:
ΔE_f ... -0.50 eV per formula unit



DFT (PBE) results for Li6DyMg8 after structural relaxation.

The structure in CIF format:
```
data_Li6DyMg8
_chemical_formula_sum 'Li6 Dy1 Mg8'
_cell_length_a 8.223
_cell_length_b 8.223
_cell_length_c 7.592
_cell_angle_alpha 57.21
_cell_angle_beta 57.21
_cell_angle_gamma 60.00
_space_group_name_H-M_alt 'P 1'
_space_group_IT_number 1
_space_group_name_Hall 'P 1'
loop_
_atom_site_label
_atom_site_fract_x
_atom_site_fract_y
_atom_site_fract_z
Li1 0.379 0.118 0.883
Li2 0.882 0.380 0.117
Li3 0.380 0.621 0.117
Li4 0.620 0.379 0.883
Li5 0.118 0.620 0.883
Li6 0.621 0.882 0.117
Dy1 0.000 0.000 0.000
Mg1 0.584 0.173 0.384
Mg2 0.827 0.140 0.616
Mg3 0.140 0.416 0.616
Mg4 0.758 0.758 0.726
Mg5 0.242 0.242 0.274
Mg6 0.860 0.584 0.384
Mg7 0.173 0.860 0.384
Mg8 0.416 0.827 0.616
```

Values from the calculation:
ΔE_f ... 0.92 eV per formula unit



DFT (PBE) results for Li3DyMg9 after structural relaxation.

The structure in CIF format:
```
data_Li3DyMg9
_chemical_formula_sum 'Li3 Dy1 Mg9'
_cell_length_a 5.501
_cell_length_b 7.736
_cell_length_c 7.784
_cell_angle_alpha 83.01
_cell_angle_beta 69.31
_cell_angle_gamma 69.87
_space_group_name_H-M_alt 'P 1'
_space_group_IT_number 1
_space_group_name_Hall 'P 1'
loop_
_atom_site_label
_atom_site_fract_x
_atom_site_fract_y
_atom_site_fract_z
Li1 0.500 0.500 0.000
Li2 0.000 0.000 0.500
Li3 0.500 0.000 0.500
Dy1 0.000 0.000 0.000
Mg1 0.705 0.791 0.786
Mg2 0.295 0.209 0.214
Mg3 0.509 0.209 0.786
Mg4 0.491 0.791 0.214
Mg5 0.650 0.347 0.355
Mg6 0.350 0.653 0.645
Mg7 0.996 0.653 0.355
Mg8 0.004 0.347 0.645
Mg9 0.000 0.500 0.000
```

Values from the calculation:
ΔE_f ... -0.48 eV per formula unit



DFT (PBE) results for Li3DyMg3 after structural relaxation.

The structure in CIF format:
```
data_Li3DyMg3
_chemical_formula_sum 'Li6 Dy2 Mg6'
_cell_length_a 7.026
_cell_length_b 7.026
_cell_length_c 7.026
_cell_angle_alpha 90.00
_cell_angle_beta 90.00
_cell_angle_gamma 90.00
_space_group_name_H-M_alt 'P 1'
_space_group_IT_number 1
_space_group_name_Hall 'P 1'
loop_
_atom_site_label
_atom_site_fract_x
_atom_site_fract_y
_atom_site_fract_z
Mg1 0.250 0.000 0.500
Mg2 0.000 0.500 0.250
Mg3 0.500 0.750 0.000
Mg4 0.750 0.000 0.500
Mg5 0.000 0.500 0.750
Mg6 0.500 0.250 0.000
Li1 0.000 0.250 0.500
Li2 0.000 0.750 0.500
Li3 0.500 0.000 0.750
Li4 0.750 0.500 0.000
Li5 0.500 0.000 0.250
Li6 0.250 0.500 0.000
Dy1 0.500 0.500 0.500
Dy2 0.000 0.000 0.000
```

Values from the calculation:
ΔE_f ... 3.21 eV per formula unit